*A*
An optimized crystal structure of MnCuHg. Source: the Alexandria database, functional PBE.

Calculated values
The mass density comes out at 10632 kg/m³. As for the space-group type: P-6m2 (187).

The structure in CIF format:
```
data_MnCuHg
_chemical_formula_sum 'Mn1 Cu1 Hg1'
_cell_length_a 4.469
_cell_length_b 4.469
_cell_length_c 2.881
_cell_angle_alpha 90.00
_cell_angle_beta 90.00
_cell_angle_gamma 120.00
_space_group_name_H-M_alt 'P 1'
_space_group_IT_number 1
_space_group_name_Hall 'P 1'
loop_
_atom_site_label
_atom_site_fract_x
_atom_site_fract_y
_atom_site_fract_z
Cu1 0.000 0.000 0.166
Hg1 0.667 0.333 0.168
Mn1 0.333 0.667 0.666
```


*B*
An optimized crystal structure of MnCuHg. Source: the Alexandria database, functional PBE.

Calculated values
The mass density comes out at 9438 kg/m³. As for the space-group type: F-43m (216).

The structure in CIF format:
```
data_MnCuHg
_chemical_formula_sum 'Mn1 Cu1 Hg1'
_cell_length_a 4.298
_cell_length_b 4.298
_cell_length_c 4.298
_cell_angle_alpha 60.00
_cell_angle_beta 60.00
_cell_angle_gamma 60.00
_space_group_name_H-M_alt 'P 1'
_space_group_IT_number 1
_space_group_name_Hall 'P 1'
loop_
_atom_site_label
_atom_site_fract_x
_atom_site_fract_y
_atom_site_fract_z
Cu1 0.750 0.750 0.750
Hg1 0.000 0.000 0.000
Mn1 0.500 0.500 0.500
```


Each structure's energy above the most stable one, in meV/atom: *A* 0; *B* 106.


*A*
An optimized crystal structure of MnCuHg2. Source: the Alexandria database, functional PBE.

Calculated values
The mass density comes out at 12222 kg/m³. As for the space-group type: P2/m (10).

The structure in CIF format:
```
data_MnCuHg2
_chemical_formula_sum 'Mn1 Cu1 Hg2'
_cell_length_a 3.213
_cell_length_b 3.236
_cell_length_c 7.508
_cell_angle_alpha 64.74
_cell_angle_beta 90.00
_cell_angle_gamma 90.00
_space_group_name_H-M_alt 'P 1'
_space_group_IT_number 1
_space_group_name_Hall 'P 1'
loop_
_atom_site_label
_atom_site_fract_x
_atom_site_fract_y
_atom_site_fract_z
Cu1 0.500 0.750 0.750
Hg1 0.000 0.010 0.990
Hg2 0.000 0.490 0.510
Mn1 0.500 0.250 0.250
```


*B*
An optimized crystal structure of MnCuHg2. Source: the Alexandria database, functional PBE.

Calculated values
The mass density comes out at 12005 kg/m³. As for the space-group type: Cm (8).

The structure in CIF format:
```
data_MnCuHg2
_chemical_formula_sum 'Mn1 Cu1 Hg2'
_cell_length_a 5.309
_cell_length_b 5.309
_cell_length_c 4.764
_cell_angle_alpha 71.40
_cell_angle_beta 71.40
_cell_angle_gamma 34.61
_space_group_name_H-M_alt 'P 1'
_space_group_IT_number 1
_space_group_name_Hall 'P 1'
loop_
_atom_site_label
_atom_site_fract_x
_atom_site_fract_y
_atom_site_fract_z
Cu1 0.232 0.232 0.238
Hg1 0.984 0.984 0.043
Hg2 0.764 0.764 0.709
Mn1 0.520 0.520 0.510
```


Each structure's energy above the most stable one, in meV/atom: *A* 0; *B* 18.